# 1
# Nb3OsCl (PBE, relaxed)
# Energy above the lowest structure with this stoichiometry in meV/atom: 0
# Raw formation energy in eV per atom: 0.87
# Fermi-level density of states in states/eV/f.u.: 7.83
data_Nb3OsCl
_symmetry_space_group_name_H-M 'P 1'
_symmetry_Int_Tables_number 1
_cell_length_a 4.4865
_cell_length_b 4.4865
_cell_length_c 4.4865
_cell_angle_alpha 90.00
_cell_angle_beta 90.00
_cell_angle_gamma 90.00
loop_
_symmetry_equiv_pos_as_xyz
'x,y,z'
loop_
_atom_site_label
_atom_site_type_symbol
_atom_site_fract_x
_atom_site_fract_y
_atom_site_fract_z
_atom_site_occupancy
Nb1 Nb 0.0000 0.0000 0.5000 1
Nb2 Nb 0.0000 0.5000 0.0000 1
Nb3 Nb 0.5000 0.0000 0.0000 1
Os1 Os 0.5000 0.5000 0.5000 1
Cl1 Cl 0.0000 0.0000 0.0000 1

---

# 2
# YMgHgPb (PBE, relaxed)
# Energy above the lowest structure with this stoichiometry in meV/atom: 0
# Fermi-level density of states in states/eV/f.u.: 1.43
data_YMgHgPb
_symmetry_space_group_name_H-M 'P 1'
_symmetry_Int_Tables_number 1
_cell_length_a 4.2818
_cell_length_b 4.7383
_cell_length_c 4.9566
_cell_angle_alpha 90.00
_cell_angle_beta 90.00
_cell_angle_gamma 90.00
loop_
_symmetry_equiv_pos_as_xyz
'x,y,z'
loop_
_atom_site_label
_atom_site_type_symbol
_atom_site_fract_x
_atom_site_fract_y
_atom_site_fract_z
_atom_site_occupancy
Y1 Y 0.0000 0.0000 0.0000 1
Mg1 Mg 0.0000 0.5000 0.5000 1
Hg1 Hg 0.5000 0.0000 0.5000 1
Pb1 Pb 0.5000 0.5000 0.0000 1

---

# 3
# Co2Sb3Te3 (PBE, relaxed)
# Raw formation energy in eV per atom: -0.11
# Fermi-level density of states in states/eV/f.u.: 7.23
data_Co2Sb3Te3
_symmetry_space_group_name_H-M 'P 1'
_symmetry_Int_Tables_number 1
_cell_length_a 9.2644
_cell_length_b 9.2644
_cell_length_c 9.2644
_cell_angle_alpha 89.93
_cell_angle_beta 89.93
_cell_angle_gamma 89.93
loop_
_symmetry_equiv_pos_as_xyz
'x,y,z'
loop_
_atom_site_label
_atom_site_type_symbol
_atom_site_fract_x
_atom_site_fract_y
_atom_site_fract_z
_atom_site_occupancy
Co1 Co 0.2494 0.2494 0.2494 1
Co2 Co 0.2498 0.2500 0.7492 1
Co3 Co 0.2500 0.7492 0.2498 1
Co4 Co 0.2508 0.7502 0.7500 1
Co5 Co 0.7492 0.2498 0.2500 1
Co6 Co 0.7500 0.2508 0.7502 1
Co7 Co 0.7502 0.7500 0.2508 1
Co8 Co 0.7506 0.7506 0.7506 1
Sb1 Sb 0.0011 0.6744 0.8361 1
Sb2 Sb 0.1639 0.9989 0.3256 1
Sb3 Sb 0.1750 0.6638 0.5005 1
Sb4 Sb 0.3256 0.1639 0.9989 1
Sb5 Sb 0.3362 0.4995 0.8250 1
Sb6 Sb 0.5005 0.1750 0.6638 1
Sb7 Sb 0.4995 0.8250 0.3362 1
Sb8 Sb 0.6638 0.5005 0.1750 1
Sb9 Sb 0.6744 0.8361 0.0011 1
Sb10 Sb 0.8250 0.3362 0.4995 1
Sb11 Sb 0.8361 0.0011 0.6744 1
Sb12 Sb 0.9989 0.3256 0.1639 1
Te1 Te 0.0008 0.3338 0.8433 1
Te2 Te 0.1567 0.9992 0.6662 1
Te3 Te 0.1654 0.3430 0.4988 1
Te4 Te 0.3338 0.8433 0.0008 1
Te5 Te 0.3430 0.4988 0.1654 1
Te6 Te 0.4988 0.1654 0.3430 1
Te7 Te 0.5012 0.8346 0.6570 1
Te8 Te 0.6570 0.5012 0.8346 1
Te9 Te 0.6662 0.1567 0.9992 1
Te10 Te 0.8346 0.6570 0.5012 1
Te11 Te 0.8433 0.0008 0.3338 1
Te12 Te 0.9992 0.6662 0.1567 1

---

# 4
# Ta2TcAu (PBE, relaxed)
# Energy above the lowest structure with this stoichiometry in meV/atom: 67
# Fermi-level density of states in states/eV/f.u.: 1.89
data_Ta2TcAu
_symmetry_space_group_name_H-M 'P 1'
_symmetry_Int_Tables_number 1
_cell_length_a 3.3246
_cell_length_b 3.3246
_cell_length_c 6.1976
_cell_angle_alpha 90.00
_cell_angle_beta 90.00
_cell_angle_gamma 90.00
loop_
_symmetry_equiv_pos_as_xyz
'x,y,z'
loop_
_atom_site_label
_atom_site_type_symbol
_atom_site_fract_x
_atom_site_fract_y
_atom_site_fract_z
_atom_site_occupancy
Ta1 Ta 0.0000 0.0000 0.0000 1
Ta2 Ta 0.5000 0.5000 0.2674 1
Tc1 Tc 0.0000 0.0000 0.4830 1
Au1 Au 0.5000 0.5000 0.7548 1

---

# 5
# Ba2MgMoPt (PBE, relaxed)
# Total DFT energy (no corrections) in eV per atom: -3.3626
# Fermi-level density of states in states/eV/f.u.: 3.82
data_Ba2MgMoPt
_symmetry_space_group_name_H-M 'P 1'
_symmetry_Int_Tables_number 1
_cell_length_a 6.2875
_cell_length_b 6.2875
_cell_length_c 4.9508
_cell_angle_alpha 90.00
_cell_angle_beta 90.00
_cell_angle_gamma 90.00
loop_
_symmetry_equiv_pos_as_xyz
'x,y,z'
loop_
_atom_site_label
_atom_site_type_symbol
_atom_site_fract_x
_atom_site_fract_y
_atom_site_fract_z
_atom_site_occupancy
Ba1 Ba 0.0000 0.5000 0.0000 1
Ba2 Ba 0.5000 0.0000 0.0000 1
Mg1 Mg 0.0000 0.0000 0.0000 1
Mo1 Mo 0.0000 0.0000 0.5000 1
Pt1 Pt 0.5000 0.5000 0.5000 1

---

# 6
# Ti7AsH5 (PBE, relaxed)
# Total DFT energy (no corrections) in eV per atom: -6.1316
# Fermi-level density of states in states/eV/f.u.: 9.31
data_Ti7AsH5
_symmetry_space_group_name_H-M 'P 1'
_symmetry_Int_Tables_number 1
_cell_length_a 6.1085
_cell_length_b 6.1085
_cell_length_c 6.1085
_cell_angle_alpha 136.63
_cell_angle_beta 102.33
_cell_angle_gamma 93.41
loop_
_symmetry_equiv_pos_as_xyz
'x,y,z'
loop_
_atom_site_label
_atom_site_type_symbol
_atom_site_fract_x
_atom_site_fract_y
_atom_site_fract_z
_atom_site_occupancy
Ti1 Ti 0.0000 0.0000 0.0000 1
Ti2 Ti 0.0208 0.6984 0.3224 1
Ti3 Ti 0.3425 0.3425 0.0000 1
Ti4 Ti 0.3697 0.0383 0.3314 1
Ti5 Ti 0.3760 0.6984 0.6776 1
Ti6 Ti 0.7068 0.0383 0.6686 1
Ti7 Ti 0.8537 0.3537 0.5000 1
As1 As 0.6541 0.6541 0.0000 1
H1 H 0.1105 0.1379 0.4853 1
H2 H 0.1105 0.6252 0.9726 1
H3 H 0.3601 0.8601 0.5000 1
H4 H 0.6526 0.1379 0.0274 1
H5 H 0.6526 0.6252 0.5147 1

---

# 7
# NdInNiRu (PBE, relaxed)
# Total DFT energy (no corrections) in eV per atom: -5.7679
# Fermi-level density of states in states/eV/f.u.: 2.15
data_NdInNiRu
_symmetry_space_group_name_H-M 'P 1'
_symmetry_Int_Tables_number 1
_cell_length_a 4.7470
_cell_length_b 4.7470
_cell_length_c 4.7470
_cell_angle_alpha 60.00
_cell_angle_beta 60.00
_cell_angle_gamma 60.00
loop_
_symmetry_equiv_pos_as_xyz
'x,y,z'
loop_
_atom_site_label
_atom_site_type_symbol
_atom_site_fract_x
_atom_site_fract_y
_atom_site_fract_z
_atom_site_occupancy
Nd1 Nd 0.0000 0.0000 0.0000 1
In1 In 0.5000 0.5000 0.5000 1
Ni1 Ni 0.2500 0.2500 0.2500 1
Ru1 Ru 0.7500 0.7500 0.7500 1

---

# 8
# BaLaRe3 (PBE, relaxed)
# Energy above the lowest structure with this stoichiometry in meV/atom: 0
# Fermi-level density of states in states/eV/f.u.: 20.58
data_BaLaRe3
_symmetry_space_group_name_H-M 'P 1'
_symmetry_Int_Tables_number 1
_cell_length_a 5.0553
_cell_length_b 5.0553
_cell_length_c 5.0553
_cell_angle_alpha 90.00
_cell_angle_beta 90.00
_cell_angle_gamma 90.00
loop_
_symmetry_equiv_pos_as_xyz
'x,y,z'
loop_
_atom_site_label
_atom_site_type_symbol
_atom_site_fract_x
_atom_site_fract_y
_atom_site_fract_z
_atom_site_occupancy
Ba1 Ba 0.0000 0.0000 0.0000 1
La1 La 0.5000 0.5000 0.5000 1
Re1 Re 0.0000 0.5000 0.5000 1
Re2 Re 0.5000 0.0000 0.5000 1
Re3 Re 0.5000 0.5000 0.0000 1

---

# 9
# Be2CoPdRh (PBE, relaxed)
# Total DFT energy (no corrections) in eV per atom: -4.4969
# Fermi-level density of states in states/eV/f.u.: 9.60
data_Be2CoPdRh
_symmetry_space_group_name_H-M 'P 1'
_symmetry_Int_Tables_number 1
_cell_length_a 3.9964
_cell_length_b 3.9964
_cell_length_c 5.0116
_cell_angle_alpha 90.00
_cell_angle_beta 90.00
_cell_angle_gamma 90.00
loop_
_symmetry_equiv_pos_as_xyz
'x,y,z'
loop_
_atom_site_label
_atom_site_type_symbol
_atom_site_fract_x
_atom_site_fract_y
_atom_site_fract_z
_atom_site_occupancy
Be1 Be 0.0000 0.5000 0.0000 1
Be2 Be 0.5000 0.0000 0.0000 1
Co1 Co 0.0000 0.0000 0.5000 1
Pd1 Pd 0.5000 0.5000 0.5000 1
Rh1 Rh 0.5000 0.5000 0.0000 1

---

# 10
# NaTaTlAg2 (PBE, relaxed)
# Total DFT energy (no corrections) in eV per atom: -2.8184
# Fermi-level density of states in states/eV/f.u.: 3.24
data_NaTaTlAg2
_symmetry_space_group_name_H-M 'P 1'
_symmetry_Int_Tables_number 1
_cell_length_a 4.7008
_cell_length_b 4.7008
_cell_length_c 5.3235
_cell_angle_alpha 90.00
_cell_angle_beta 90.00
_cell_angle_gamma 90.00
loop_
_symmetry_equiv_pos_as_xyz
'x,y,z'
loop_
_atom_site_label
_atom_site_type_symbol
_atom_site_fract_x
_atom_site_fract_y
_atom_site_fract_z
_atom_site_occupancy
Na1 Na 0.0000 0.0000 0.0000 1
Ta1 Ta 0.0000 0.0000 0.5000 1
Tl1 Tl 0.5000 0.5000 0.5000 1
Ag1 Ag 0.0000 0.5000 0.0000 1
Ag2 Ag 0.5000 0.0000 0.0000 1